1.
## LaLuBeNi (PBE-GGA)

Data for a geometry-optimized LaLuBeNi structure.

Results
- V (Å³ per atom) = 18.5
- energy relative to the lowest polymorph listed for this composition (eV/atom) = 0.233
- mass density (Mg/m³) = 8.57

a b c (Å): 4.7103 4.7103 4.7103
angles (deg): 60.00 60.00 60.00
Closest atoms and distances in Å follow each position.
Atoms (fractional coordinates):
La  0.0000  0.0000  0.0000  4 Be 2.88, 4 Lu 2.88
Be  0.7500  0.7500  0.7500  4 La 2.88, 4 Ni 2.88
Lu  0.2500  0.2500  0.2500  4 La 2.88, 4 Ni 2.88
Ni  0.5000  0.5000  0.5000  4 Be 2.88, 4 Lu 2.88

2.
## GdZrAu4 (PBE-GGA)

Data for a geometry-optimized GdZrAu4 structure.

Results
- V (Å³ per atom) = 20.3
- mass density (Mg/m³) = 14.13
- energy of formation from the pure elements (eV per atom) = -0.706

a b c (Å): 3.6769 3.6769 9.0105
angles (deg): 90.00 90.00 90.00
Closest atoms and distances in Å follow each position.
Atoms (fractional coordinates):
Au  0.0000  0.0000  0.6600  5 Au 2.88-3.00, 4 Zr 2.97, 1 Gd 3.06
Au  0.5000  0.5000  0.1736  1 Zr 2.94, 5 Au 3.00-3.13, 4 Gd 3.03
Gd  0.0000  0.0000  0.0000  10 Au 3.03-3.06
Au  0.5000  0.5000  0.8264  1 Zr 2.94, 5 Au 3.00-3.13, 4 Gd 3.03
Au  0.0000  0.0000  0.3400  5 Au 2.88-3.00, 4 Zr 2.97, 1 Gd 3.06
Zr  0.5000  0.5000  0.5000  10 Au 2.94-2.97

3.
## Cs3PmCl6 (PBE-GGA)

Data for a geometry-optimized Cs3PmCl6 structure.

Results
- total energy (eV per cell) = -39.919
- V (Å³ per atom) = 40.5
- mass density (Mg/m³) = 3.10

a b c (Å): 8.1072 8.1072 8.4005
angles (deg): 117.98 117.98 60.87
Closest atoms and distances in Å follow each position.
Atoms (fractional coordinates):
Cl  0.7124  0.7124  0.8266  1 Pm 2.73
Cl  0.3359  0.8012  0.3514  1 Pm 2.73
Cs  0.7567  0.7567  0.2785  5 Cl 3.49-3.56
Cl  0.2876  0.2876  0.1734  1 Pm 2.73
Cs  0.2433  0.2433  0.7215  5 Cl 3.49-3.56
Cl  0.1988  0.6641  0.6486  1 Pm 2.73
Cs  0.0000  0.0000  0.0000  6 Cl 3.37-3.45
Cl  0.6641  0.1988  0.6486  1 Pm 2.73
Pm  0.5000  0.5000  0.5000  6 Cl 2.73
Cl  0.8012  0.3359  0.3514  1 Pm 2.73